Record 1
Here is a relaxed structure of MgBAs from Alexandria. Energies are from PBE.

## Properties
- N(E_F): 0.3 states/eV per cell
- Spin magnetization: 0.00 μB/atom
- ρ: 3.65 g/cm³
- Excess energy over the best structure of this formula in the dataset: 0.105 eV per atom

Lattice parameters (Å, degrees): 4.2019 4.5404 6.0237 110.96 104.47 98.77
With the nearest neighbours (Å) after each atom.
Atoms (fractional coordinates):
As 0.8854 0.1289 0.5664  2 B 2.11-2.13
Mg 0.4447 0.2260 0.9241  2 B 2.35-2.50, 1 As 2.61
B 0.8812 0.3173 0.2929  1 B 1.62
B 0.8959 0.6772 0.2965  1 B 1.62
Mg 0.4689 0.5483 0.5029  3 B 2.34-2.53
As 0.9100 0.8682 0.0247  2 B 2.12-2.14

---

Record 2
Here is a relaxed structure of MgBAs from Alexandria. Energies are from PBE.

## Properties
- N(E_F): 0.5 states/eV per cell
- Spin magnetization: 0.00 μB/atom
- ρ: 3.73 g/cm³
- Excess energy over the best structure of this formula in the dataset: 0.008 eV per atom

Lattice parameters (Å, degrees): 3.3834 4.2900 7.5728 79.40 77.13 66.87
With the nearest neighbours (Å) after each atom.
Atoms (fractional coordinates):
Mg 0.7630 0.8755 0.1072  6 As 2.73-2.93
B 0.6957 0.4023 0.7157  1 B 1.63
As 0.3883 0.4062 0.3259  2 B 2.11
As 0.1292 0.3653 0.8856  2 B 2.10
B 0.7865 0.4415 0.4943  1 B 1.63
Mg 0.0321 0.8550 0.5927  6 B 2.35-2.56

---

Record 3
Here is a relaxed structure of Mg3BAs from Alexandria. Energies are from PBE.

## Properties
- N(E_F): 3.6 states/eV per cell
- Spin magnetization: 0.00 μB/atom
- ρ: 2.86 g/cm³
- Excess energy over the best structure of this formula in the dataset: 0.000 eV per atom

Lattice parameters (Å, degrees): 4.5177 4.5177 4.5177 90.00 90.00 90.00
With the nearest neighbours (Å) after each atom.
Atoms (fractional coordinates):
Mg 0.0000 0.5000 0.0000  2 B 2.26
Mg 0.0000 0.0000 0.5000  2 B 2.26
As 0.5000 0.5000 0.5000  12 Mg 3.19
B 0.0000 0.0000 0.0000  6 Mg 2.26
Mg 0.5000 0.0000 0.0000  2 B 2.26

---

Record 4
Here is a relaxed structure of MgBAs2 from Alexandria. Energies are from PBE.

## Properties
- N(E_F): 1.9 states/eV per cell
- Spin magnetization: 0.00 μB/atom
- ρ: 4.23 g/cm³
- Excess energy over the best structure of this formula in the dataset: 0.000 eV per atom

Lattice parameters (Å, degrees): 6.1208 6.1208 5.8071 58.20 58.20 90.00
With the nearest neighbours (Å) after each atom.
Atoms (fractional coordinates):
As 0.3750 0.4551 0.7500  2 B 2.09
Mg 0.7500 0.2500 0.5000  4 As 2.71
As 0.8750 0.7949 0.7500  2 B 2.09
Mg 0.0000 0.0000 0.0000  4 As 2.71
As 0.2051 0.6250 0.2500  2 B 2.09
B 0.5000 0.5000 0.0000  4 As 2.09
As 0.5449 0.1250 0.2500  2 B 2.09
B 0.2500 0.7500 0.5000  4 As 2.09

---

Record 5
Here is a relaxed structure of MgBAs from Alexandria. Energies are from PBE.

## Properties
- N(E_F): 0.4 states/eV per cell
- Spin magnetization: 0.00 μB/atom
- ρ: 3.71 g/cm³
- Excess energy over the best structure of this formula in the dataset: 0.000 eV per atom

Lattice parameters (Å, degrees): 3.3384 7.7981 7.6946 90.00 100.28 90.00
With the nearest neighbours (Å) after each atom.
Atoms (fractional coordinates):
As 0.6207 0.0000 0.2771  2 B 2.10-2.11
As 0.6207 0.5000 0.7771  2 B 2.10-2.11
As 0.3793 0.5000 0.2229  2 B 2.10-2.11
Mg 0.5000 0.2640 0.5000  4 B 2.61-2.62, 4 As 2.75-2.79
B 0.0487 0.5000 0.6078  1 B 1.63
Mg 0.5000 0.7640 0.0000  4 B 2.61-2.62, 4 As 2.75-2.79
Mg 0.5000 0.7360 0.5000  4 B 2.61-2.62, 4 As 2.75-2.79
B 0.9513 0.5000 0.3922  1 B 1.63
Mg 0.5000 0.2360 0.0000  4 B 2.61-2.62, 4 As 2.75-2.79
B 0.0487 0.0000 0.1078  1 B 1.63
As 0.3793 0.0000 0.7229  2 B 2.10-2.11
B 0.9513 0.0000 0.8922  1 B 1.63

---

Record 6
Here is a relaxed structure of Mg2BAs2 from Alexandria. Energies are from PBE.

## Properties
- N(E_F): 2.7 states/eV per cell
- Spin magnetization: 0.00 μB/atom
- ρ: 3.25 g/cm³
- Excess energy over the best structure of this formula in the dataset: 0.101 eV per atom

Lattice parameters (Å, degrees): 4.6873 4.6873 5.8852 66.53 66.53 90.00
With the nearest neighbours (Å) after each atom.
Atoms (fractional coordinates):
Mg 0.2500 0.7500 0.5000  4 As 2.65
As 0.3762 0.3762 0.2475  1 As 2.41, 4 Mg 2.65
As 0.6238 0.6238 0.7525  1 As 2.41, 4 Mg 2.65
Mg 0.7500 0.2500 0.5000  4 As 2.65
B 0.0000 0.0000 0.0000  8 Mg 3.38, 10 As 3.53-3.66

---

Record 7
Here is a relaxed structure of MgBAs2 from Alexandria. Energies are from PBE.

## Properties
- N(E_F): 1.5 states/eV per cell
- Spin magnetization: 0.00 μB/atom
- ρ: 4.63 g/cm³
- Excess energy over the best structure of this formula in the dataset: 0.810 eV per atom

Lattice parameters (Å, degrees): 4.5431 4.5431 4.5431 60.00 60.00 60.00
With the nearest neighbours (Å) after each atom.
Atoms (fractional coordinates):
B 0.0000 0.0000 0.0000  8 As 2.78
As 0.2500 0.2500 0.2500  4 Mg 2.78, 4 B 2.78
As 0.7500 0.7500 0.7500  4 Mg 2.78, 4 B 2.78
Mg 0.5000 0.5000 0.5000  8 As 2.78

---

Record 8
Here is a relaxed structure of MgBAs from Alexandria. Energies are from PBE.

## Properties
- N(E_F): 1.0 states/eV per cell
- Spin magnetization: 0.00 μB/atom
- ρ: 3.95 g/cm³
- Excess energy over the best structure of this formula in the dataset: 0.185 eV per atom

Lattice parameters (Å, degrees): 3.3318 3.3318 4.8136 90.00 90.00 120.00
With the nearest neighbours (Å) after each atom.
Atoms (fractional coordinates):
As 0.6667 0.3333 0.8166  3 B 2.10
B 0.3333 0.6667 0.9938  3 As 2.10
Mg 0.0000 0.0000 0.3213  3 B 2.49

---

Record 9
Here is a relaxed structure of Mg3BAs from Alexandria. Energies are from PBE.

## Properties
- N(E_F): 2.9 states/eV per cell
- Spin magnetization: 0.00 μB/atom
- ρ: 2.21 g/cm³
- Excess energy over the best structure of this formula in the dataset: 0.709 eV per atom

Lattice parameters (Å, degrees): 4.9236 4.9236 4.9236 90.00 90.00 90.00
With the nearest neighbours (Å) after each atom.
Atoms (fractional coordinates):
Mg 0.0000 0.0000 0.5000  2 As 2.46
Mg 0.0000 0.5000 0.0000  2 As 2.46
B 0.5000 0.5000 0.5000  12 Mg 3.48
As 0.0000 0.0000 0.0000  6 Mg 2.46
Mg 0.5000 0.0000 0.0000  2 As 2.46

---

Record 10
Here is a relaxed structure of MgBAs from Alexandria. Energies are from PBE.

## Properties
- N(E_F): 1.4 states/eV per cell
- Spin magnetization: 0.00 μB/atom
- ρ: 3.64 g/cm³
- Excess energy over the best structure of this formula in the dataset: 0.032 eV per atom

Lattice parameters (Å, degrees): 4.8264 3.4360 12.1415 90.00 94.86 90.00
With the nearest neighbours (Å) after each atom.
Atoms (fractional coordinates):
Mg 0.7919 0.5000 0.3603  2 B 2.37-2.50
B 0.6241 0.0000 0.0494  1 B 1.62
B 0.3759 0.0000 0.9506  1 B 1.62
Mg 0.2081 0.0000 0.1397  2 B 2.37-2.50
As 0.7572 0.0000 0.6364  2 B 2.09
As 0.7572 0.5000 0.1364  2 B 2.09
As 0.2428 0.5000 0.8636  2 B 2.09
Mg 0.2081 0.5000 0.6397  2 B 2.37-2.50
B 0.6241 0.5000 0.5494  1 B 1.62
Mg 0.7919 0.0000 0.8603  2 B 2.37-2.50
B 0.3759 0.5000 0.4506  1 B 1.62
As 0.2428 0.0000 0.3636  2 B 2.09

---

Record 11
Here is a relaxed structure of MgBAs3 from Alexandria. Energies are from PBE.

## Properties
- N(E_F): 3.9 states/eV per cell
- Spin magnetization: 0.00 μB/atom
- ρ: 4.77 g/cm³
- Excess energy over the best structure of this formula in the dataset: 0.000 eV per atom

Lattice parameters (Å, degrees): 4.4898 4.4898 4.4898 90.00 90.00 90.00
With the nearest neighbours (Å) after each atom.
Atoms (fractional coordinates):
Mg 0.5000 0.5000 0.5000  12 As 3.17
As 0.5000 0.0000 0.0000  2 B 2.24
As 0.0000 0.0000 0.5000  2 B 2.24
As 0.0000 0.5000 0.0000  2 B 2.24
B 0.0000 0.0000 0.0000  6 As 2.24

---

Record 12
Here is a relaxed structure of MgBAs3 from Alexandria. Energies are from PBE.

## Properties
- N(E_F): 4.0 states/eV per cell
- Spin magnetization: 0.00 μB/atom
- ρ: 3.56 g/cm³
- Excess energy over the best structure of this formula in the dataset: 0.963 eV per atom

Lattice parameters (Å, degrees): 4.9503 4.9503 4.9503 90.00 90.00 90.00
With the nearest neighbours (Å) after each atom.
Atoms (fractional coordinates):
Mg 0.0000 0.0000 0.0000  6 As 2.48
As 0.0000 0.0000 0.5000  2 Mg 2.48
B 0.5000 0.5000 0.5000  12 As 3.50
As 0.0000 0.5000 0.0000  2 Mg 2.48
As 0.5000 0.0000 0.0000  2 Mg 2.48

---

Record 13
Here is a relaxed structure of MgBAs2 from Alexandria. Energies are from PBE.

## Properties
- N(E_F): 1.6 states/eV per cell
- Spin magnetization: 0.00 μB/atom
- ρ: 4.28 g/cm³
- Excess energy over the best structure of this formula in the dataset: 0.367 eV per atom

Lattice parameters (Å, degrees): 3.2148 3.2148 8.2321 78.74 78.74 60.00
With the nearest neighbours (Å) after each atom.
Atoms (fractional coordinates):
As 0.1140 0.1140 0.6581  3 B 2.25
Mg 0.0000 0.0000 0.0000  2 As 2.74
B 0.5000 0.5000 0.5000  6 As 2.25
As 0.8860 0.8860 0.3419  3 B 2.25